1.
6
Lattice="3.814 0.000 0.000 1.888 4.957 0.000 1.890 2.081 7.119" Properties=species:S:1:pos:R:3 comment="PrDyAu4 PBE relaxed" polymorph_energy_mev_per_atom=0 pbc="T T T"
Pr 0.000 0.000 0.000
Dy 1.889 3.519 3.560
Au 3.792 5.630 2.433
Au 3.799 4.216 5.813
Au 3.793 2.821 1.307
Au 3.800 1.408 4.687

***

2.
4
Lattice="3.765 0.000 0.000 0.000 3.765 0.000 0.000 0.000 8.546" Properties=species:S:1:pos:R:3 comment="Pr2DyAu PBE relaxed" polymorph_energy_mev_per_atom=65 pbc="T T T"
Pr 0.000 0.000 1.822
Pr 0.000 0.000 6.725
Dy 1.883 1.883 4.273
Au 1.883 1.883 0.000

***

Calculated values (meV per atom) of ΔE_f for the records, taken in order: -802, -332.